Material: LiPbO2
Method: DFT, PBE
State: relaxed

Cell lengths 3.5838, 3.5838, 17.7017 Å; angles 90.00, 90.00, 120.00 degrees
Space group R-3m (No. 166, hexagonal axes)
Unique sites:
Li: 0.0000 0.0000 0.0000 x3
Pb: 0.0000 0.0000 0.5000 x3
O: 0.0000 0.0000 0.1011 x6

Summary:
uncorrected formation energy: -1.13 eV/atom